1.
An optimized crystal structure of ScMn3Ga, computed with GGA-PBE. Values from VASP.

Density in g cm⁻³: 4.83
Polymorph energy (0 for the lowest one) in meV per atom: 0.0
ΔH_f (0 K) in eV/f.u.: 3.2
Spin magnetization in μB/atom: 1.862
Energy in eV per atom: -6.732

```
&SYSTEM
  ibrav = 0, nat = 5, ntyp = 3
/
ATOMIC_SPECIES
Sc 44.96 Sc.upf
Mn 54.94 Mn.upf
Ga 69.72 Ga.upf
ATOMIC_POSITIONS crystal
Sc 0.500 0.500 0.500
Mn 0.000 0.500 0.000
Mn 0.000 0.000 0.500
Mn 0.500 0.000 0.000
Ga 0.000 0.000 0.000
CELL_PARAMETERS angstrom
4.582 0.000 0.000
0.000 4.582 0.000
0.000 0.000 4.582
```

***

2.
An optimized crystal structure of ScMnGa3, computed with GGA-PBE. Values from VASP.

Density in g cm⁻³: 5.52
Polymorph energy (0 for the lowest one) in meV per atom: 17.9
ΔH_f (0 K) in eV/f.u.: -0.3
Spin magnetization in μB/atom: 0.000
Energy in eV per atom: -4.982

```
&SYSTEM
  ibrav = 0, nat = 5, ntyp = 3
/
ATOMIC_SPECIES
Sc 44.96 Sc.upf
Mn 54.94 Mn.upf
Ga 69.72 Ga.upf
ATOMIC_POSITIONS crystal
Sc 0.500 0.500 0.500
Mn 0.000 0.000 0.000
Ga 0.000 0.500 0.000
Ga 0.000 0.000 0.500
Ga 0.500 0.000 0.000
CELL_PARAMETERS angstrom
-3.071 3.330 0.106
-3.325 -3.055 -0.371
-0.201 -0.329 4.515
```